Arrangement a

VASP calculation (GGA-PBEsol) on a geometry-optimized CuOsSe2 structure.

Cell lengths 3.0598, 4.4343, 4.4450 Å; angles 90.00, 90.00, 90.00 degrees
Space group Pmmm (No. 47)
Inequivalent atoms, fractional coordinates:
Cu1 0.0000 0.0000 0.0000 [1 per cell]
Os1 0.0000 0.5000 0.5000 [1 per cell]
Se1 0.5000 0.0000 0.5000 [1 per cell]
Se2 0.5000 0.5000 0.0000 [1 per cell]



Arrangement b

VASP calculation (GGA-PBEsol) on a geometry-optimized CuOsSe2 structure.

Cell lengths 3.6961, 3.6961, 5.2779 Å; angles 90.00, 90.00, 90.00 degrees
Space group P-4m2 (No. 115)
Inequivalent atoms, fractional coordinates:
Cu1 0.0000 0.0000 0.0000 [1 per cell]
Os1 0.5000 0.5000 0.0000 [1 per cell]
Se1 0.0000 0.5000 0.3083 [2 per cell]



Arrangement c

VASP calculation (GGA-PBEsol) on a geometry-optimized CuOsSe2 structure.

Cell lengths 2.9534, 4.2288, 11.4225 Å; angles 90.00, 90.00, 90.00 degrees
Space group Immm (No. 71)
Inequivalent atoms, fractional coordinates:
Cu1 0.0000 0.0000 0.0000 [2 per cell]
Os1 0.0000 0.0000 0.5000 [2 per cell]
Se1 0.0000 0.5000 0.1730 [4 per cell]



Order from most stable to least stable according to the calculation: arrangement b, arrangement c, arrangement a



Arrangement a

VASP calculation (GGA-PBEsol) on a geometry-optimized CuSi2Os structure.

Cell lengths 3.6091, 3.6091, 7.6701 Å; angles 90.00, 90.00, 90.00 degrees
Space group I-4m2 (No. 119)
Inequivalent atoms, fractional coordinates:
Cu1 0.0000 0.0000 0.0000 [2 per cell]
Si1 0.0000 0.0000 0.5000 [2 per cell]
Si2 0.0000 0.5000 0.2500 [2 per cell]
Os1 0.0000 0.5000 0.7500 [2 per cell]



Arrangement b

VASP calculation (GGA-PBEsol) on a geometry-optimized CuSi2Os structure.

Cell lengths 2.7320, 2.7320, 7.1576 Å; angles 90.00, 90.00, 90.00 degrees
Space group P4mm (No. 99)
Inequivalent atoms, fractional coordinates:
Cu1 0.0000 0.0000 0.0000 [1 per cell]
Si1 0.0000 0.0000 0.4759 [1 per cell]
Si2 0.5000 0.5000 0.7691 [1 per cell]
Os1 0.5000 0.5000 0.2591 [1 per cell]



Arrangement c

VASP calculation (GGA-PBEsol) on a geometry-optimized CuSi2Os structure.

Cell lengths 2.8959, 4.1644, 4.1766 Å; angles 90.00, 90.00, 90.00 degrees
Space group Pmmm (No. 47)
Inequivalent atoms, fractional coordinates:
Cu1 0.0000 0.0000 0.0000 [1 per cell]
Si1 0.5000 0.0000 0.5000 [1 per cell]
Si2 0.5000 0.5000 0.0000 [1 per cell]
Os1 0.0000 0.5000 0.5000 [1 per cell]



Arrangement d

VASP calculation (GGA-PBEsol) on a geometry-optimized CuSi2Os structure.

Cell lengths 3.2128, 3.2128, 4.9399 Å; angles 90.00, 90.00, 90.00 degrees
Space group P4mm (No. 99)
Inequivalent atoms, fractional coordinates:
Cu1 0.0000 0.0000 0.0000 [1 per cell]
Si1 0.0000 0.0000 0.5232 [1 per cell]
Si2 0.5000 0.5000 0.8175 [1 per cell]
Os1 0.5000 0.5000 0.3185 [1 per cell]



Order from most stable to least stable according to the calculation: arrangement d, arrangement a, arrangement c, arrangement b



Arrangement a

VASP calculation (GGA-PBEsol) on a geometry-optimized CuTcOs2 structure.

Cell lengths 4.6001, 2.6889, 4.6504 Å; angles 90.00, 110.38, 90.00 degrees
Space group P2/m (No. 10)
Inequivalent atoms, fractional coordinates:
Cu1 0.0000 0.0000 0.0000 [1 per cell]
Tc1 0.0000 0.5000 0.5000 [1 per cell]
Os1 0.5000 0.0000 0.5000 [1 per cell]
Os2 0.5000 0.5000 0.0000 [1 per cell]



Arrangement b

VASP calculation (GGA-PBEsol) on a geometry-optimized CuTcOs2 structure.

Cell lengths 2.6993, 3.8114, 5.2117 Å; angles 90.00, 90.00, 90.00 degrees
Space group Pmm2 (No. 25)
Inequivalent atoms, fractional coordinates:
Cu1 0.0000 0.0000 0.0000 [1 per cell]
Tc1 0.5000 0.5000 0.7586 [1 per cell]
Os1 0.0000 0.0000 0.4992 [1 per cell]
Os2 0.5000 0.5000 0.2414 [1 per cell]



Order from most stable to least stable according to the calculation: arrangement b, arrangement a



Arrangement a

VASP calculation (GGA-PBEsol) on a geometry-optimized CuTcOs2 structure.

Cell lengths 6.0187, 6.0187, 6.0187 Å; angles 90.00, 90.00, 90.00 degrees
Space group F-43m (No. 216)
Inequivalent atoms, fractional coordinates:
Cu1 0.0000 0.0000 0.0000 [4 per cell]
Tc1 0.2500 0.2500 0.2500 [4 per cell]
Os1 0.0000 0.0000 0.5000 [4 per cell]
Os2 0.2500 0.2500 0.7500 [4 per cell]



Arrangement b

VASP calculation (GGA-PBEsol) on a geometry-optimized CuTcOs2 structure.

Cell lengths 2.7456, 4.4827, 9.0053 Å; angles 90.00, 90.00, 90.00 degrees
Space group Cmm2 (No. 35)
Inequivalent atoms, fractional coordinates:
Cu1 0.0000 0.0000 0.0000 [2 per cell]
Tc1 0.0000 0.5000 0.2481 [2 per cell]
Os1 0.0000 0.0000 0.4965 [2 per cell]
Os2 0.0000 0.5000 0.7529 [2 per cell]



Arrangement c

VASP calculation (GGA-PBEsol) on a geometry-optimized CuTcOs2 structure.

Cell lengths 3.6932, 3.6932, 7.8715 Å; angles 90.00, 90.00, 90.00 degrees
Space group I-4m2 (No. 119)
Inequivalent atoms, fractional coordinates:
Cu1 0.0000 0.0000 0.0000 [2 per cell]
Tc1 0.0000 0.5000 0.7500 [2 per cell]
Os1 0.0000 0.0000 0.5000 [2 per cell]
Os2 0.0000 0.5000 0.2500 [2 per cell]



Order from most stable to least stable according to the calculation: arrangement c, arrangement a, arrangement b



Arrangement a

VASP calculation (GGA-PBEsol) on a geometry-optimized CuTe2Os structure.

Cell lengths 7.5214, 3.6706, 6.5174 Å; angles 90.00, 108.25, 90.00 degrees
Space group Cm (No. 8)
Inequivalent atoms, fractional coordinates:
Cu1 0.0000 0.0000 0.0000 [2 per cell]
Te1 0.2522 0.0000 0.8398 [2 per cell]
Te2 0.4909 0.0000 0.3856 [2 per cell]
Os1 0.2478 0.5000 0.1691 [2 per cell]



Arrangement b

VASP calculation (GGA-PBEsol) on a geometry-optimized CuTe2Os structure.

Cell lengths 6.6675, 6.6675, 6.6675 Å; angles 90.00, 90.00, 90.00 degrees
Space group F-43m (No. 216)
Inequivalent atoms, fractional coordinates:
Cu1 0.0000 0.0000 0.0000 [4 per cell]
Te1 0.0000 0.0000 0.5000 [4 per cell]
Te2 0.2500 0.2500 0.7500 [4 per cell]
Os1 0.2500 0.2500 0.2500 [4 per cell]



Order from most stable to least stable according to the calculation: arrangement a, arrangement b



Arrangement a

VASP calculation (GGA-PBEsol) on a geometry-optimized Tl2CuOs structure.

Cell lengths 4.1905, 3.4323, 10.1961 Å; angles 90.00, 90.00, 90.00 degrees
Space group Amm2 (No. 38)
Inequivalent atoms, fractional coordinates:
Tl1 0.0000 0.0000 0.0000 [2 per cell]
Tl2 0.5000 0.0000 0.2986 [2 per cell]
Cu1 0.0000 0.0000 0.7187 [2 per cell]
Os1 0.5000 0.0000 0.5742 [2 per cell]



Arrangement b

VASP calculation (GGA-PBEsol) on a geometry-optimized Tl2CuOs structure.

Cell lengths 4.1862, 4.1862, 7.9916 Å; angles 90.00, 90.00, 90.00 degrees
Space group I4/mmm (No. 139)
Inequivalent atoms, fractional coordinates:
Tl1 0.0000 0.5000 0.2500 [4 per cell]
Cu1 0.0000 0.0000 0.0000 [2 per cell]
Os1 0.0000 0.0000 0.5000 [2 per cell]



Order from most stable to least stable according to the calculation: arrangement a, arrangement b